Computed, not measured: crystalline BaCaSeF2 at its relaxed geometry at the PBE level of DFT.

Values from the calculation:
* space-group type: P4/mmm (123)
* E: -5.246 eV/atom

Cell: 4.568 4.568 5.845 Å, 90.00 90.00 90.00°
Fractional positions:
F 0.500 0.000 0.000
Se 0.000 0.000 0.500
Ca 0.000 0.000 0.000
F 0.000 0.500 0.000
Ba 0.500 0.500 0.500

Computed, not measured: crystalline Rb2TmF5 at its relaxed geometry at the PBE level of DFT.

Values from the calculation:
* space-group type: Pnma (62)
* E: -5.473 eV/atom

Cell: 6.907 7.364 11.464 Å, 90.00 90.00 90.00°
Fractional positions:
F 0.370 0.250 0.018
Tm 0.942 0.750 0.997
Tm 0.442 0.250 0.503
Rb 0.041 0.997 0.330
F 0.145 0.963 0.065
F 0.355 0.537 0.565
F 0.144 0.250 0.821
F 0.389 0.750 0.339
F 0.644 0.750 0.679
Rb 0.959 0.497 0.670
F 0.855 0.037 0.935
F 0.130 0.250 0.518
F 0.111 0.750 0.839
F 0.889 0.250 0.161
F 0.145 0.537 0.065
Tm 0.558 0.750 0.497
F 0.355 0.963 0.565
F 0.645 0.037 0.435
Rb 0.959 0.003 0.670
F 0.855 0.463 0.935
F 0.870 0.750 0.482
Rb 0.041 0.503 0.330
Tm 0.058 0.250 0.003
Rb 0.459 0.503 0.830
F 0.356 0.250 0.321
Rb 0.541 0.497 0.170
F 0.630 0.750 0.982
F 0.645 0.463 0.435
F 0.856 0.750 0.179
F 0.611 0.250 0.661
Rb 0.541 0.003 0.170
Rb 0.459 0.997 0.830

Computed, not measured: crystalline ScCrH2Os at its relaxed geometry at the PBE level of DFT.

Values from the calculation:
* space-group type: P4/mmm (123)
* E: -6.035 eV/atom

Cell: 3.451 5.609 3.451 Å, 90.00 90.00 90.00°
Fractional positions:
H 0.500 0.000 0.000
Cr 0.000 0.500 0.000
H 0.000 0.000 0.500
Os 0.500 0.500 0.500
Sc 0.000 0.000 0.000